Arrangement 1

Computed, not measured: a geometry-optimized HfScAsO structure at the PBE-GGA level of DFT.

## Properties
* symmetry: P4/nmm, No. 129
* crystal system: tetragonal

a b c (Å): 4.0559 4.0559 8.3534
angles (deg): 90.00 90.00 90.00
Closest atoms and distances in Å follow each position.
Sites, in units of the cell vectors:
As 0.7500 0.7500 0.2912  4 Hf 2.67
As 0.2500 0.2500 0.7088  4 Hf 2.67
O 0.2500 0.7500 0.0000  4 Sc 2.19
O 0.7500 0.2500 0.0000  4 Sc 2.19
Sc 0.2500 0.2500 0.0989  4 O 2.19
Sc 0.7500 0.7500 0.9011  4 O 2.19
Hf 0.7500 0.2500 0.5000  4 As 2.67, 4 Hf 2.87
Hf 0.2500 0.7500 0.5000  4 As 2.67, 4 Hf 2.87

Arrangement 2

Computed, not measured: a geometry-optimized HfScAsO structure at the PBE-GGA level of DFT.

## Properties
* symmetry: P4/nmm, No. 129
* crystal system: tetragonal

a b c (Å): 3.8372 3.8372 8.5299
angles (deg): 90.00 90.00 90.00
Closest atoms and distances in Å follow each position.
Sites, in units of the cell vectors:
O 0.7500 0.2500 0.0000  4 Hf 2.23
O 0.2500 0.7500 0.0000  4 Hf 2.23
Hf 0.2500 0.2500 0.1333  4 O 2.23
Hf 0.7500 0.7500 0.8667  4 O 2.23
Sc 0.2500 0.7500 0.5000  4 As 2.70, 4 Sc 2.71
Sc 0.7500 0.2500 0.5000  4 As 2.70, 4 Sc 2.71
As 0.7500 0.7500 0.2774  4 Sc 2.70, 4 Hf 2.98
As 0.2500 0.2500 0.7226  4 Sc 2.70, 4 Hf 2.98

Arrangement 3

Computed, not measured: a geometry-optimized HfScAsO structure at the PBE-GGA level of DFT.

## Properties
* symmetry: Pmma, No. 51
* crystal system: orthorhombic

a b c (Å): 4.0272 7.1981 4.9795
angles (deg): 90.00 90.00 90.00
Closest atoms and distances in Å follow each position.
Sites, in units of the cell vectors:
As 0.0000 0.6147 0.9386  2 Sc 2.67, 3 Hf 2.73-2.76, 2 As 2.99
As 0.0000 0.3853 0.4386  2 Sc 2.67, 3 Hf 2.73-2.76, 2 As 2.99
O 0.5000 0.8443 0.4379  2 Hf 2.09, 1 Sc 2.14
O 0.5000 0.1557 0.9379  2 Hf 2.09, 1 Sc 2.14
Sc 0.5000 0.1416 0.4389  1 O 2.14
Sc 0.5000 0.8584 0.9389  1 O 2.14
Hf 0.0000 0.2313 0.9386  2 O 2.09
Hf 0.0000 0.7687 0.4386  2 O 2.09

Most stable: arrangement 3

Arrangement 1

Computed, not measured: a geometry-optimized HfSiAsO structure at the PBE-GGA level of DFT.

## Properties
* symmetry: P4/nmm, No. 129
* crystal system: tetragonal

a b c (Å): 3.5114 3.5114 10.1630
angles (deg): 90.00 90.00 90.00
Closest atoms and distances in Å follow each position.
Sites, in units of the cell vectors:
O 0.5000 0.5000 0.0000  4 Hf 2.15
O 0.0000 0.0000 0.0000  4 Hf 2.15
Hf 0.5000 0.0000 0.1222  4 O 2.15
Hf 0.0000 0.5000 0.8778  4 O 2.15
As 0.0000 0.5000 0.2681  4 Hf 2.89, 4 Si 2.94
As 0.5000 0.0000 0.7319  4 Hf 2.89, 4 Si 2.94
Si 0.0000 0.0000 0.5000  4 Si 2.48
Si 0.5000 0.5000 0.5000  4 Si 2.48

Arrangement 2

Computed, not measured: a geometry-optimized HfSiAsO structure at the PBE-GGA level of DFT.

## Properties
* symmetry: Pmc2_1, No. 26
* crystal system: orthorhombic

a b c (Å): 3.5265 5.7684 6.7099
angles (deg): 90.00 90.00 90.00
Closest atoms and distances in Å follow each position.
Sites, in units of the cell vectors:
As 0.0000 0.8035 0.3773  2 Si 2.44, 1 Hf 2.70
As 0.0000 0.1965 0.8773  2 Si 2.44, 1 Hf 2.70
O 0.5000 0.7632 0.8112  1 Si 1.70
O 0.5000 0.2368 0.3112  1 Si 1.70
Hf 0.0000 0.7087 0.9827  2 O 2.13
Hf 0.0000 0.2913 0.4827  2 O 2.13
Si 0.5000 0.6349 0.5828  1 O 1.70
Si 0.5000 0.3651 0.0828  1 O 1.70

Most stable: arrangement 1

Arrangement 1

Computed, not measured: a geometry-optimized HfSiAsO structure at the PBE-GGA level of DFT.

## Properties
* symmetry: P4/nmm, No. 129
* crystal system: tetragonal

a b c (Å): 4.3131 4.3131 7.1327
angles (deg): 90.00 90.00 90.00
Closest atoms and distances in Å follow each position.
Sites, in units of the cell vectors:
As 0.5000 0.0000 0.7109  1 Si 2.50, 4 Hf 2.63
As 0.0000 0.5000 0.2891  1 Si 2.50, 4 Hf 2.63
Si 0.5000 0.0000 0.0614  4 O 2.20
Si 0.0000 0.5000 0.9386  4 O 2.20
Hf 0.5000 0.5000 0.5000  4 As 2.63
Hf 0.0000 0.0000 0.5000  4 As 2.63
O 0.0000 0.0000 0.0000  4 Si 2.20
O 0.5000 0.5000 0.0000  4 Si 2.20

Arrangement 2

Computed, not measured: a geometry-optimized HfSiAsO structure at the PBE-GGA level of DFT.

## Properties
* symmetry: Pmc2_1, No. 26
* crystal system: orthorhombic

a b c (Å): 3.7111 5.6862 6.2075
angles (deg): 90.00 90.00 90.00
Closest atoms and distances in Å follow each position.
Sites, in units of the cell vectors:
Si 0.0000 0.8089 0.9080  2 O 1.90
Si 0.0000 0.1911 0.4080  2 O 1.90
Hf 0.5000 0.5849 0.6045  2 O 2.17
Hf 0.5000 0.4151 0.1045  2 O 2.17
As 0.0000 0.2538 0.8178  2 Si 2.57-2.59, 2 Hf 2.73
As 0.0000 0.7462 0.3178  2 Si 2.57-2.59, 2 Hf 2.73
O 0.5000 0.2575 0.4237  2 Si 1.90
O 0.5000 0.7425 0.9237  2 Si 1.90

Most stable: arrangement 2

Arrangement 1

Computed, not measured: a geometry-optimized HfTaAsO structure at the PBE-GGA level of DFT.

## Properties
* symmetry: Pmc2_1, No. 26
* crystal system: orthorhombic

a b c (Å): 3.5982 7.0042 5.6069
angles (deg): 90.00 90.00 90.00
Closest atoms and distances in Å follow each position.
Sites, in units of the cell vectors:
O 0.5000 0.3046 0.3464  2 Ta 2.01, 2 Hf 2.14-2.24
O 0.5000 0.6954 0.8464  2 Ta 2.01, 2 Hf 2.14-2.24
As 0.0000 0.8893 0.4268  2 Ta 2.62-2.65, 2 Hf 2.70
As 0.0000 0.1107 0.9268  2 Ta 2.62-2.65, 2 Hf 2.70
Ta 0.0000 0.7365 0.9993  2 O 2.01
Ta 0.0000 0.2635 0.4993  2 O 2.01
Hf 0.5000 0.3942 0.9816  2 O 2.14-2.24
Hf 0.5000 0.6058 0.4816  2 O 2.14-2.24

Arrangement 2

Computed, not measured: a geometry-optimized HfTaAsO structure at the PBE-GGA level of DFT.

## Properties
* symmetry: P4/nmm, No. 129
* crystal system: tetragonal

a b c (Å): 4.0388 4.0388 7.5084
angles (deg): 90.00 90.00 90.00
Closest atoms and distances in Å follow each position.
Sites, in units of the cell vectors:
Ta 0.5000 0.0000 0.1173  4 O 2.20
Ta 0.0000 0.5000 0.8827  4 O 2.20
O 0.5000 0.5000 0.0000  4 Ta 2.20
O 0.0000 0.0000 0.0000  4 Ta 2.20
Hf 0.0000 0.0000 0.5000  4 As 2.74, 4 Hf 2.86
Hf 0.5000 0.5000 0.5000  4 As 2.74, 4 Hf 2.86
As 0.0000 0.5000 0.2543  4 Hf 2.74, 4 O 2.78, 5 Ta 2.79-3.04
As 0.5000 0.0000 0.7457  4 Hf 2.74, 4 O 2.78, 5 Ta 2.79-3.04

Most stable: arrangement 1

Arrangement 1

Computed, not measured: a geometry-optimized HfTaAsO structure at the PBE-GGA level of DFT.

## Properties
* symmetry: P4/nmm, No. 129
* crystal system: tetragonal

a b c (Å): 3.8076 3.8076 8.4550
angles (deg): 90.00 90.00 90.00
Closest atoms and distances in Å follow each position.
Sites, in units of the cell vectors:
Ta 0.0000 0.0000 0.5000  4 As 2.69, 4 Ta 2.69
Ta 0.5000 0.5000 0.5000  4 As 2.69, 4 Ta 2.69
Hf 0.0000 0.5000 0.8615  4 O 2.24
Hf 0.5000 0.0000 0.1385  4 O 2.24
O 0.0000 0.0000 0.0000  4 Hf 2.24
O 0.5000 0.5000 0.0000  4 Hf 2.24
As 0.5000 0.0000 0.7245  4 Ta 2.69, 4 Hf 2.93, 4 O 3.01
As 0.0000 0.5000 0.2755  4 Ta 2.69, 4 Hf 2.93, 4 O 3.01

Arrangement 2

Computed, not measured: a geometry-optimized HfTaAsO structure at the PBE-GGA level of DFT.

## Properties
* symmetry: Pmc2_1, No. 26
* crystal system: orthorhombic

a b c (Å): 3.4407 5.9532 6.3549
angles (deg): 90.00 90.00 90.00
Closest atoms and distances in Å follow each position.
Sites, in units of the cell vectors:
As 0.0000 0.3307 0.7974  2 Hf 2.61-2.77, 4 Ta 2.63-2.70
As 0.0000 0.6693 0.2974  2 Hf 2.61-2.77, 4 Ta 2.63-2.70
Hf 0.0000 0.0859 0.4274  2 O 2.06
Hf 0.0000 0.9141 0.9274  2 O 2.06
O 0.5000 0.7228 0.9229  2 Hf 2.06, 1 Ta 2.11
O 0.5000 0.2772 0.4229  2 Hf 2.06, 1 Ta 2.11
Ta 0.5000 0.6136 0.6063  2 O 2.11-2.32
Ta 0.5000 0.3864 0.1063  2 O 2.11-2.32

Most stable: arrangement 1

Arrangement 1

Computed, not measured: a geometry-optimized HfTcAsO structure at the PBE-GGA level of DFT.

## Properties
* symmetry: Pmc2_1, No. 26
* crystal system: orthorhombic

a b c (Å): 4.0910 5.6003 5.4860
angles (deg): 90.00 90.00 90.00
Closest atoms and distances in Å follow each position.
Sites, in units of the cell vectors:
Hf 0.0000 0.2179 0.3752  2 O 2.05
Hf 0.0000 0.7821 0.8752  2 O 2.05
O 0.5000 0.8007 0.8768  2 Hf 2.05, 2 Tc 2.17
O 0.5000 0.1993 0.3768  2 Hf 2.05, 2 Tc 2.17
As 0.0000 0.7196 0.3758  4 Tc 2.75, 4 Hf 2.76-2.81
As 0.0000 0.2805 0.8758  4 Tc 2.75, 4 Hf 2.76-2.81
Tc 0.5000 0.5000 0.1262  2 O 2.17
Tc 0.5000 0.5000 0.6262  2 O 2.17

Arrangement 2

Computed, not measured: a geometry-optimized HfTcAsO structure at the PBE-GGA level of DFT.

## Properties
* symmetry: P4/nmm, No. 129
* crystal system: tetragonal

a b c (Å): 4.0751 4.0751 6.9141
angles (deg): 90.00 90.00 90.00
Closest atoms and distances in Å follow each position.
Sites, in units of the cell vectors:
Tc 0.2500 0.7500 0.5000  4 As 2.45
Tc 0.7500 0.2500 0.5000  4 As 2.45
O 0.2500 0.7500 0.0000  4 Hf 2.23
O 0.7500 0.2500 0.0000  4 Hf 2.23
Hf 0.2500 0.2500 0.1296  4 O 2.23
Hf 0.7500 0.7500 0.8704  4 O 2.23
As 0.2500 0.2500 0.6963  4 Tc 2.45
As 0.7500 0.7500 0.3037  4 Tc 2.45

Most stable: arrangement 2

Arrangement 1

Computed, not measured: a geometry-optimized HfTcAsO structure at the PBE-GGA level of DFT.

## Properties
* symmetry: P4/nmm, No. 129
* crystal system: tetragonal

a b c (Å): 4.1760 4.1760 6.6547
angles (deg): 90.00 90.00 90.00
Closest atoms and distances in Å follow each position.
Sites, in units of the cell vectors:
O 0.0000 0.0000 0.0000  4 Tc 2.30
O 0.5000 0.5000 0.0000  4 Tc 2.30
As 0.5000 0.0000 0.7688  1 Tc 2.51, 4 O 2.59, 4 Hf 2.75
As 0.0000 0.5000 0.2312  1 Tc 2.51, 4 O 2.59, 4 Hf 2.75
Tc 0.0000 0.5000 0.8541  4 O 2.30, 1 As 2.51
Tc 0.5000 0.0000 0.1459  4 O 2.30, 1 As 2.51
Hf 0.5000 0.5000 0.5000  4 As 2.75, 4 Hf 2.95
Hf 0.0000 0.0000 0.5000  4 As 2.75, 4 Hf 2.95

Arrangement 2

Computed, not measured: a geometry-optimized HfTcAsO structure at the PBE-GGA level of DFT.

## Properties
* symmetry: Pmc2_1, No. 26
* crystal system: orthorhombic

a b c (Å): 4.2876 4.7607 5.9788
angles (deg): 90.00 90.00 90.00
Closest atoms and distances in Å follow each position.
Sites, in units of the cell vectors:
Hf 0.5000 0.2309 0.1080  2 O 2.02
Hf 0.5000 0.7691 0.6080  2 O 2.02
As 0.0000 0.1189 0.7967  3 Tc 2.48-2.55
As 0.0000 0.8811 0.2967  3 Tc 2.48-2.55
Tc 0.0000 0.3851 0.4411  2 O 2.16
Tc 0.0000 0.6149 0.9411  2 O 2.16
O 0.5000 0.5725 0.9082  2 Hf 2.02, 2 Tc 2.16
O 0.5000 0.4275 0.4082  2 Hf 2.02, 2 Tc 2.16

Most stable: arrangement 2

Arrangement 1

Computed, not measured: a geometry-optimized HfTeAsO structure at the PBE-GGA level of DFT.

## Properties
* symmetry: P4/nmm, No. 129
* crystal system: tetragonal

a b c (Å): 5.0710 5.0710 5.4451
angles (deg): 90.00 90.00 90.00
Closest atoms and distances in Å follow each position.
Sites, in units of the cell vectors:
Te 0.7500 0.7500 0.8404  2 As 2.62-2.82, 4 O 2.68
Te 0.2500 0.2500 0.1596  2 As 2.62-2.82, 4 O 2.68
As 0.2500 0.2500 0.6778  2 Te 2.62-2.82, 4 Hf 2.71
As 0.7500 0.7500 0.3221  2 Te 2.62-2.82, 4 Hf 2.71
Hf 0.7500 0.2500 0.5000  4 As 2.71, 2 O 2.72
Hf 0.2500 0.7500 0.5000  4 As 2.71, 2 O 2.72
O 0.2500 0.7500 0.0000  4 Te 2.68, 2 Hf 2.72
O 0.7500 0.2500 0.0000  4 Te 2.68, 2 Hf 2.72

Arrangement 2

Computed, not measured: a geometry-optimized HfTeAsO structure at the PBE-GGA level of DFT.

## Properties
* symmetry: Pmc2_1, No. 26
* crystal system: orthorhombic

a b c (Å): 3.4291 8.5919 6.4322
angles (deg): 90.00 90.00 90.00
Closest atoms and distances in Å follow each position.
Sites, in units of the cell vectors:
As 0.0000 0.0754 0.8015  2 Te 2.75, 2 Hf 2.76-2.78
As 0.0000 0.9246 0.3015  2 Te 2.75, 2 Hf 2.76-2.78
Te 0.5000 0.2616 0.0241  2 As 2.75
Te 0.5000 0.7384 0.5241  2 As 2.75
O 0.5000 0.6677 0.0005  2 Hf 1.97
O 0.5000 0.3323 0.5005  2 Hf 1.97
Hf 0.0000 0.2339 0.4278  2 O 1.97
Hf 0.0000 0.7661 0.9278  2 O 1.97

Arrangement 3

Computed, not measured: a geometry-optimized HfTeAsO structure at the PBE-GGA level of DFT.

## Properties
* symmetry: Pmc2_1, No. 26
* crystal system: orthorhombic

a b c (Å): 3.7167 7.6407 7.2169
angles (deg): 90.00 90.00 90.00
Closest atoms and distances in Å follow each position.
Sites, in units of the cell vectors:
Hf 0.5000 0.5575 0.4928  2 O 1.95-2.00
Hf 0.5000 0.4425 0.9928  2 O 1.95-2.00
As 0.0000 0.8091 0.4257  1 Te 2.56, 2 Hf 2.72
As 0.0000 0.1909 0.9257  1 Te 2.56, 2 Hf 2.72
Te 0.0000 0.7612 0.0745  1 As 2.56
Te 0.0000 0.2388 0.5745  1 As 2.56
O 0.5000 0.4134 0.2610  2 Hf 1.95-2.00
O 0.5000 0.5866 0.7610  2 Hf 1.95-2.00

Most stable: arrangement 3